(1)
A plane-wave DFT calculation with PBE-GGA was carried out for crystalline Pa3TiSe6 at its relaxed geometry.

Cell: 6.763 8.783 8.783 Å, 100.16 90.00 90.00°
Last column: magnetic moment on the atom in μB.
Atoms (fractional coordinates):
Pa (0.371, 0.396, 0.604)  1.18
Pa (0.477, 0.269, 0.071)  0.94
Pa (0.977, 0.731, 0.929)  0.94
Pa (0.871, 0.604, 0.396)  1.18
Pa (0.477, 0.929, 0.731)  0.94
Pa (0.977, 0.071, 0.269)  0.94
Se (0.209, 0.449, 0.913)  -0.03
Se (0.709, 0.551, 0.087)  -0.03
Se (0.191, 0.025, 0.975)  -0.03
Se (0.166, 0.767, 0.233)  -0.04
Se (0.666, 0.233, 0.767)  -0.04
Se (0.174, 0.700, 0.627)  -0.03
Se (0.209, 0.087, 0.551)  -0.03
Se (0.674, 0.627, 0.700)  -0.03
Se (0.674, 0.300, 0.373)  -0.03
Se (0.174, 0.373, 0.300)  -0.03
Se (0.691, 0.975, 0.025)  -0.03
Se (0.709, 0.913, 0.449)  -0.03
Ti (0.037, 0.196, 0.804)  1.25
Ti (0.537, 0.804, 0.196)  1.25

**ΔE_f (raw)**: -1194 meV/atom
**Size of the total moment**: 5.155 μB/f.u.
**Space group**: Cmc2_1, No. 36
**Energy**: -6.9231 eV per atom

---

(2)
A plane-wave DFT calculation with PBE-GGA was carried out for crystalline DyHoThN3 at its relaxed geometry.

Cell: 3.383 6.435 10.036 Å, 92.11 90.00 90.00°
Last column: magnetic moment on the atom in μB.
Atoms (fractional coordinates):
Ho (0.250, 0.665, 0.105)  0.05
Ho (0.750, 0.335, 0.895)  0.05
N (0.250, 0.836, 0.575)  0.00
N (0.750, 0.164, 0.425)  0.00
N (0.750, 0.388, 0.121)  0.00
N (0.250, 0.110, 0.813)  0.00
N (0.750, 0.890, 0.187)  0.00
N (0.250, 0.612, 0.879)  0.00
Th (0.250, 0.176, 0.230)  0.03
Th (0.750, 0.824, 0.770)  0.03
Dy (0.750, 0.795, 0.423)  0.12
Dy (0.250, 0.205, 0.577)  0.12

**ΔE_f (raw)**: -1374 meV/atom
**Size of the total moment**: 0.364 μB/f.u.
**Space group**: P2_1/m, No. 11
**Energy**: -8.3031 eV per atom

---

(3)
A plane-wave DFT calculation with PBE-GGA was carried out for crystalline AcYMg4 at its relaxed geometry.

Cell: 6.200 6.200 6.200 Å, 60.00 60.00 60.00°
Atoms (fractional coordinates):
Mg (0.626, 0.123, 0.626)
Mg (0.123, 0.626, 0.626)
Mg (0.626, 0.626, 0.123)
Mg (0.626, 0.626, 0.626)
Ac (0.250, 0.250, 0.250)
Y (0.000, 0.000, 0.000)

**Size of the total moment**: 0.000 μB/f.u.
**Space group**: F-43m, No. 216
**DFT formation energy**: -99 meV/atom
**Energy**: -2.9239 eV per atom

---

(4)
A plane-wave DFT calculation with PBE-GGA was carried out for crystalline Cd3HIr at its relaxed geometry.

Cell: 5.235 5.235 5.235 Å, 90.00 90.00 90.00°
Last column: magnetic moment on the atom in μB.
Atoms (fractional coordinates):
H (0.500, 0.500, 0.500)  0.35
Cd (0.500, 0.000, 0.000)  0.02
Cd (0.000, 0.500, 0.000)  -0.01
Cd (0.000, 0.000, 0.500)  0.00
Ir (0.000, 0.000, 0.000)  0.05

**Size of the total moment**: 0.903 μB/f.u.
**Space group**: Pm-3m, No. 221
**Energy**: -2.2614 eV per atom
**Excess energy over the best structure of this formula in the dataset**: 387 meV per atom

---

(5)
A plane-wave DFT calculation with PBE-GGA was carried out for crystalline K2Nb2CoS6 at its relaxed geometry.

Cell: 6.071 6.071 7.840 Å, 96.91 96.91 119.79°
Last column: magnetic moment on the atom in μB.
Atoms (fractional coordinates):
K (0.817, 0.183, 0.000)  0.00
K (0.183, 0.817, 0.000)  0.00
S (0.270, 0.270, 0.285)  0.04
S (0.636, 0.959, 0.329)  0.00
S (0.959, 0.636, 0.329)  0.00
S (0.041, 0.364, 0.671)  0.00
S (0.364, 0.041, 0.671)  0.00
S (0.730, 0.730, 0.715)  0.04
Nb (0.640, 0.360, 0.500)  -0.02
Nb (0.360, 0.640, 0.500)  -0.02
Co (0.000, 0.000, 0.500)  0.94

**ΔE_f (raw)**: -910 meV/atom
**Size of the total moment**: 0.987 μB/f.u.
**Space group**: C2/m, No. 12
**Energy**: -5.8373 eV per atom

---

(6)
A plane-wave DFT calculation with PBE-GGA was carried out for crystalline Li2Cd8Pd3 at its relaxed geometry.

Cell: 4.603 7.849 7.849 Å, 70.26 90.00 90.00°
Atoms (fractional coordinates):
Pd (0.000, 0.758, 0.242)
Pd (0.000, 0.242, 0.758)
Pd (0.500, 0.000, 0.000)
Cd (0.000, 0.134, 0.134)
Cd (0.500, 0.140, 0.609)
Cd (0.000, 0.625, 0.625)
Cd (0.500, 0.860, 0.391)
Cd (0.000, 0.375, 0.375)
Cd (0.500, 0.391, 0.860)
Cd (0.000, 0.866, 0.866)
Cd (0.500, 0.609, 0.140)
Li (0.500, 0.238, 0.238)
Li (0.500, 0.762, 0.762)

**Size of the total moment**: 0.000 μB/f.u.
**Space group**: Cmmm, No. 65
**DFT formation energy**: -188 meV/atom
**Energy**: -2.2438 eV per atom
**Excess energy over the best structure of this formula in the dataset**: 0 meV per atom